1.
The following is a DFT calculation (GGA-PBE) of a relaxed RbLiZr2Cu crystal.

The space group is P4/mmm (No. 123) and the conventional cell measures 5.005, 5.005 and 4.807 Å, with angles of 90.00, 90.00 and 90.00 degrees. The asymmetric unit holds Rb at (0.000, 0.000, 0.000), Li at (0.500, 0.500, 0.500), Zr at (0.000, 0.500, 0.500) and Cu at (0.500, 0.500, 0.000).

The density of states at the Fermi level comes out at 7.555 states/eV/cell.

---

2.
The following is a DFT calculation (GGA-PBE) of a relaxed Li2CuRe crystal.

The space group is P4/mmm (No. 123) and the conventional cell measures 2.547, 2.547 and 8.330 Å, with angles of 90.00, 90.00 and 90.00 degrees. The asymmetric unit holds Li at (0.000, 0.000, 0.240), Cu at (0.500, 0.500, 0.000) and Re at (0.500, 0.500, 0.500).

The value obtained for the polymorph energy (0 for the lowest one) is 11.5 meV/atom. The density of states at the Fermi level comes out at 1.365 states/eV/cell.

---

3.
The following is a DFT calculation (GGA-PBE) of a relaxed Li2CuRe crystal.

The space group is P4/mmm (No. 123) and the conventional cell measures 4.617, 4.617 and 2.481 Å, with angles of 90.00, 90.00 and 90.00 degrees. The asymmetric unit holds Li at (0.000, 0.500, 0.000), Cu at (0.000, 0.000, 0.500) and Re at (0.500, 0.500, 0.500).

The value obtained for the polymorph energy (0 for the lowest one) is 375.8 meV/atom. The density of states at the Fermi level comes out at 2.099 states/eV/cell.

---

4.
The following is a DFT calculation (GGA-PBE) of a relaxed LiCu2Re crystal.

The space group is Pmmm (No. 47) and the conventional cell measures 2.539, 4.498 and 4.536 Å, with angles of 90.00, 90.00 and 90.00 degrees. The asymmetric unit holds Li at (0.000, 0.000, 0.000), Cu at (0.000, 0.500, 0.500), Cu at (0.500, 0.000, 0.500) and Re at (0.500, 0.500, 0.000).

The value obtained for the polymorph energy (0 for the lowest one) is 246.7 meV/atom. The density of states at the Fermi level comes out at 3.002 states/eV/cell.

---

5.
The following is a DFT calculation (GGA-PBE) of a relaxed LiCuRe2 crystal.

The space group is I-42d (No. 122) and the conventional cell measures 3.573, 3.573 and 18.930 Å, with angles of 90.00, 90.00 and 90.00 degrees. The asymmetric unit holds Li at (0.000, 0.000, 0.000), Cu at (0.000, 0.000, 0.500) and Re at (0.241, 0.250, 0.125).

The value obtained for the polymorph energy (0 for the lowest one) is 473.5 meV/atom. The density of states at the Fermi level comes out at 10.473 states/eV/cell.

---

6.
The following is a DFT calculation (GGA-PBE) of a relaxed LiCu2Re crystal.

The space group is P2/m (No. 10) and the conventional cell measures 2.515, 3.930 and 5.378 Å, with angles of 90.00, 96.02 and 90.00 degrees. The asymmetric unit holds Li at (0.000, 0.000, 0.000), Cu at (0.459, 0.500, 0.257) and Re at (0.000, 0.000, 0.500).

The value obtained for the polymorph energy (0 for the lowest one) is 103.4 meV/atom. The density of states at the Fermi level comes out at 2.816 states/eV/cell.

---

7.
The following is a DFT calculation (GGA-PBE) of a relaxed LiCu4Re crystal.

The space group is F-43m (No. 216) and the conventional cell measures 6.782, 6.782 and 6.782 Å, with angles of 90.00, 90.00 and 90.00 degrees. The asymmetric unit holds Li at (0.000, 0.000, 0.000), Cu at (0.125, 0.125, 0.375) and Re at (0.250, 0.250, 0.750).

The density of states at the Fermi level comes out at 13.842 states/eV/cell.

---

8.
The following is a DFT calculation (GGA-PBE) of a relaxed LiCu2Re crystal.

The space group is P4mm (No. 99) and the conventional cell measures 2.569, 2.569 and 7.976 Å, with angles of 90.00, 90.00 and 90.00 degrees. The asymmetric unit holds Li at (0.000, 0.000, 0.000), Cu at (0.000, 0.000, 0.526), Cu at (0.500, 0.500, 0.752) and Re at (0.500, 0.500, 0.270).

The value obtained for the polymorph energy (0 for the lowest one) is 24.2 meV/atom. The density of states at the Fermi level comes out at 2.278 states/eV/cell.

---

Number 1: formation energy from the elements 1.162 eV/atom. Number 2: formation energy from the elements 0.164 eV/atom. Number 3: formation energy from the elements 0.528 eV/atom. Number 4: formation energy from the elements 0.413 eV/atom. Number 5: formation energy from the elements 0.683 eV/atom. Number 6: formation energy from the elements 0.270 eV/atom. Number 7: formation energy from the elements 0.376 eV/atom. Number 8: formation energy from the elements 0.191 eV/atom.